No. 1
The following is a PBE calculation of a relaxed BaAlRe crystal, from Alexandria.

distance to the lowest polymorph of the same formula: 0.0 meV per atom
formation enthalpy at 0 K: 465 meV per atom
SG: Imm2

Cell: 6.4011 6.4011 6.4011 Å, 149.13 146.98 45.83°
Element x y z (fractional)
Al1 0.0614 0.0614 0.0000
Ba1 0.3271 0.3271 0.0000
Re1 0.6115 0.6115 0.0000

---

No. 2
The following is a PBE calculation of a relaxed BaAlRe crystal, from Alexandria.

distance to the lowest polymorph of the same formula: 1535.4 meV per atom
formation enthalpy at 0 K: 2000 meV per atom
SG: F-43m

Cell: 5.1839 5.1839 5.1839 Å, 60.00 60.00 60.00°
Element x y z (fractional)
Ba1 0.7500 0.7500 0.7500
Re1 0.0000 0.0000 0.0000
Al1 0.5000 0.5000 0.5000

---

No. 3
The following is a PBE calculation of a relaxed Ba2AlRe crystal, from Alexandria.

formation enthalpy at 0 K: 991 meV per atom
SG: Cmmm

Cell: 6.1528 6.1528 3.1499 Å, 90.00 90.00 107.03°
Element x y z (fractional)
Ba1 0.0000 0.0000 0.0000
Al1 0.0000 0.5000 0.5000
Re1 0.5000 0.0000 0.5000
Ba2 0.5000 0.5000 0.0000

---

No. 4
The following is a PBE calculation of a relaxed BaAl2Re crystal, from Alexandria.

distance to the lowest polymorph of the same formula: 643.1 meV per atom
formation enthalpy at 0 K: 722 meV per atom
SG: Fm-3m

Cell: 4.9378 4.9378 4.9378 Å, 60.00 60.00 60.00°
Element x y z (fractional)
Re1 0.5000 0.5000 0.5000
Ba1 0.0000 0.0000 0.0000
Al1 0.2500 0.2500 0.2500
Al2 0.7500 0.7500 0.7500

---

No. 5
The following is a PBE calculation of a relaxed BaAl2Re crystal, from Alexandria.

distance to the lowest polymorph of the same formula: 176.1 meV per atom
formation enthalpy at 0 K: 255 meV per atom
SG: Pm

Cell: 4.2825 2.9836 7.4997 Å, 78.75 90.00 90.00°
Element x y z (fractional)
Re1 0.5000 0.7395 0.8919
Al1 0.0000 0.2199 0.9303
Ba1 0.0000 0.4430 0.4963
Al2 0.5000 0.0976 0.1815

---

No. 6
The following is a PBE calculation of a relaxed BaAlRe2 crystal, from Alexandria.

formation enthalpy at 0 K: 997 meV per atom
SG: Immm

Cell: 6.1386 6.1386 6.1386 Å, 153.90 128.35 58.77°
Element x y z (fractional)
Re1 0.5387 0.5387 0.0000
Re2 0.9613 0.9613 0.0000
Ba1 0.2500 0.7500 0.5000
Al1 0.7500 0.2500 0.5000

---

No. 7
The following is a PBE calculation of a relaxed Ba2AlRe crystal, from Alexandria.

formation enthalpy at 0 K: 958 meV per atom
SG: Pmmm

Cell: 4.5978 3.1811 8.6902 Å, 68.56 90.00 90.00°
Element x y z (fractional)
Ba1 0.0000 0.5167 0.4830
Al1 0.5000 0.7500 0.7500
Ba2 0.0000 0.9833 0.0170
Re1 0.5000 0.2500 0.2500

---

No. 8
The following is a PBE calculation of a relaxed BaAlRe2 crystal, from Alexandria.

formation enthalpy at 0 K: 1281 meV per atom
SG: P2/m

Cell: 2.8659 5.5171 6.0476 Å, 54.18 90.00 90.00°
Element x y z (fractional)
Al1 0.5000 0.5000 0.5000
Re1 0.5000 0.5000 0.0000
Re2 0.0000 0.0000 0.0000
Ba1 0.0000 0.0000 0.5000

---

No. 9
The following is a PBE calculation of a relaxed BaAlRe4 crystal, from Alexandria.

formation enthalpy at 0 K: 788 meV per atom
SG: F-43m

Cell: 5.4403 5.4403 5.4403 Å, 60.00 60.00 60.00°
Element x y z (fractional)
Al1 0.7500 0.7500 0.7500
Re1 0.3759 0.3759 0.3759
Re2 0.3759 0.3759 0.8722
Ba1 0.0000 0.0000 0.0000
Re3 0.8722 0.3759 0.3759
Re4 0.3759 0.8722 0.3759

---

No. 10
The following is a PBE calculation of a relaxed BaAlRe crystal, from Alexandria.

distance to the lowest polymorph of the same formula: 418.0 meV per atom
formation enthalpy at 0 K: 883 meV per atom
SG: P3m1

Cell: 3.3562 3.3562 7.2615 Å, 90.00 90.00 120.00°
Element x y z (fractional)
Re1 0.6667 0.3333 0.7086
Al1 0.0000 0.0000 0.9380
Ba1 0.3333 0.6667 0.3534

---

No. 11
The following is a PBE calculation of a relaxed BaAl2Re crystal, from Alexandria.

distance to the lowest polymorph of the same formula: 781.6 meV per atom
formation enthalpy at 0 K: 860 meV per atom
SG: F-43m

Cell: 4.8934 4.8934 4.8934 Å, 120.06 120.06 89.90°
Element x y z (fractional)
Re1 0.7500 0.2500 0.5000
Al1 0.0000 0.0000 0.0000
Al2 0.2500 0.7500 0.5000
Ba1 0.5000 0.5000 0.0000

---

No. 12
The following is a PBE calculation of a relaxed BaAlRe2 crystal, from Alexandria.

formation enthalpy at 0 K: 147 meV per atom
SG: R3m

Cell: 4.3754 4.3754 6.6376 Å, 70.76 70.76 60.00°
Element x y z (fractional)
Re1 0.0595 0.0595 0.8215
Re2 0.7435 0.7435 0.7695
Al1 0.4430 0.4430 0.6709
Ba1 0.2539 0.2539 0.2382